Here is crystalline PmTlSnPd at its relaxed geometry from the Alexandria database. Energies are from PBE-GGA.

Cell: 7.262 7.262 7.262 Å, 90.00 90.00 90.00°
Space group F-43m (No. 216)
Inequivalent atoms, fractional coordinates:
Pm1 0.000 0.000 0.000
Tl1 0.250 0.250 0.750
Sn1 0.000 0.000 0.500
Pd1 0.250 0.250 0.250

Calculated values
The calculation puts the raw total energy at -4.54 eV per atom. The calculated formation energy is -0.459 eV per atom. For the total magnetization, the calculation gives 0.000 μB/f.u.